# 1
An optimized crystal structure of Ca2ZrCl, computed with PBE.

Cell lengths 8.476, 8.476, 6.713 Å; angles 90.00, 90.00, 90.00 degrees
Element x y z (fractional)
Ca: 0.181 0.250 0.125
Ca: 0.250 0.681 0.375
Ca: 0.250 0.819 0.875
Ca: 0.319 0.250 0.625
Ca: 0.681 0.750 0.625
Ca: 0.750 0.181 0.875
Ca: 0.750 0.319 0.375
Ca: 0.819 0.750 0.125
Zr: 0.000 0.000 0.500
Zr: 0.000 0.500 0.750
Zr: 0.500 0.000 0.250
Zr: 0.500 0.500 0.000
Cl: 0.000 0.000 0.000
Cl: 0.000 0.500 0.250
Cl: 0.500 0.000 0.750
Cl: 0.500 0.500 0.500

Summary:
Distance to the lowest polymorph of the same formula: 552 meV/atom
Magnetic moment: 1.04 μB/f.u.

# 2
An optimized crystal structure of K2HgIO6, computed with PBE.

Cell lengths 5.881, 5.883, 5.946 Å; angles 108.84, 108.96, 104.57 degrees
Element x y z (fractional)
K: 0.240 0.262 0.002
K: 0.760 0.738 0.998
Hg: 0.500 0.000 0.500
I: 0.000 0.500 0.500
O: 0.166 0.666 0.320
O: 0.205 0.301 0.503
O: 0.252 0.755 0.838
O: 0.748 0.245 0.162
O: 0.795 0.699 0.497
O: 0.834 0.334 0.680

Summary:
Raw total energy: -41.00 eV for the cell shown
Magnetic moment: 1.04 μB/f.u.

# 3
An optimized crystal structure of SnHgTeO6, computed with PBE.

Cell lengths 5.394, 5.394, 9.963 Å; angles 90.00, 90.00, 120.00 degrees
Element x y z (fractional)
Sn: 0.333 0.667 0.250
Sn: 0.667 0.333 0.750
Hg: 0.000 0.000 0.000
Hg: 0.000 0.000 0.500
Te: 0.333 0.667 0.750
Te: 0.667 0.333 0.250
O: 0.018 0.380 0.640
O: 0.018 0.639 0.860
O: 0.361 0.380 0.860
O: 0.361 0.982 0.640
O: 0.380 0.018 0.140
O: 0.380 0.361 0.360
O: 0.620 0.639 0.640
O: 0.620 0.982 0.860
O: 0.639 0.018 0.360
O: 0.639 0.620 0.140
O: 0.982 0.361 0.140
O: 0.982 0.620 0.360

Summary:
Raw total energy: -92.84 eV for the cell shown
Magnetic moment: 0.00 μB/f.u.

# 4
An optimized crystal structure of AcDy4Y7, computed with PBE.

Cell lengths 6.276, 7.267, 8.938 Å; angles 89.97, 76.27, 89.87 degrees
Element x y z (fractional)
Ac: 0.000 0.000 0.000
Dy: 0.221 0.500 0.336
Dy: 0.279 0.254 0.663
Dy: 0.721 0.746 0.337
Dy: 0.779 0.500 0.664
Y: 0.000 0.500 0.000
Y: 0.223 0.001 0.339
Y: 0.281 0.745 0.663
Y: 0.499 0.254 0.999
Y: 0.501 0.746 0.001
Y: 0.719 0.255 0.337
Y: 0.777 0.999 0.661

Summary:
Distance to the lowest polymorph of the same formula: 0 meV/atom
Energy relative to the elements: 13 meV per atom
Magnetic moment: 0.00 μB/f.u.

# 5
An optimized crystal structure of Te2MoPbN, computed with PBE.

Cell lengths 5.614, 5.614, 3.846 Å; angles 90.00, 90.00, 90.00 degrees
Element x y z (fractional)
Te: 0.000 0.500 0.000
Te: 0.500 0.000 0.000
Mo: 0.000 0.000 0.000
Pb: 0.500 0.500 0.500
N: 0.000 0.000 0.500

Summary:
Distance to the lowest polymorph of the same formula: 0 meV/atom
Magnetic moment: 0.52 μB/f.u.

# 6
An optimized crystal structure of ScGaOs2C, computed with PBE.

Cell lengths 4.492, 4.492, 4.862 Å; angles 90.00, 90.00, 90.00 degrees
Element x y z (fractional)
Sc: 0.000 0.000 0.000
Ga: 0.000 0.000 0.500
Os: 0.000 0.500 0.500
Os: 0.500 0.000 0.500
C: 0.500 0.500 0.000

Summary:
Energy relative to the elements: 2380 meV per atom
Magnetic moment: 0.00 μB/f.u.